[1]
SiOs2Pt (GGA-PBE, relaxed); SG = No. 12; electronic total energy = -69.4 eV for the cell shown; calculated density = 17.273 Mg/m³; formation energy from raw total energies = -0.19 eV per atom
1.0
4.928 -1.401 0.000
4.928 1.401 0.000
-1.122 0.000 8.407
Si Os Pt
2 4 2
Direct
0.178 0.178 0.185
0.822 0.822 0.815
0.177 0.177 0.596
0.453 0.453 0.648
0.547 0.547 0.352
0.823 0.823 0.404
0.112 0.112 0.904
0.888 0.888 0.096

[2]
GaTcIN2 (GGA-PBE, relaxed); relative energy among the computed polymorphs = 495 kJ/mol of formula units; SG = No. 123; electronic total energy = -22.9 eV for the cell shown; calculated density = 5.547 Mg/m³; formation energy from raw total energies = 1.74 eV per atom
1.0
3.907 0.000 0.000
0.000 3.907 0.000
0.000 0.000 6.329
Ga Tc I N
1 1 1 2
Direct
0.000 0.000 0.000
0.500 0.500 0.500
0.000 0.000 0.500
0.000 0.500 0.000
0.500 0.000 0.000

- electronic total energy of number 1 (SiOs2Pt)?
  -69.4 eV for the cell shown

Repeat the second record exactly.
GaTcIN2 (GGA-PBE, relaxed); relative energy among the computed polymorphs = 495 kJ/mol of formula units; SG = No. 123; electronic total energy = -22.9 eV for the cell shown; calculated density = 5.547 Mg/m³; formation energy from raw total energies = 1.74 eV per atom
1.0
3.907 0.000 0.000
0.000 3.907 0.000
0.000 0.000 6.329
Ga Tc I N
1 1 1 2
Direct
0.000 0.000 0.000
0.500 0.500 0.500
0.000 0.000 0.500
0.000 0.500 0.000
0.500 0.000 0.000

- Which of these has the lowest formation energy from raw total energies?
  SiOs2Pt